Model 1:
DFT (PBE) results for an optimized crystal structure of LaPr3Y6.

The space group is R32 (No. 155, hexagonal axes) and the conventional cell measures 10.0527, 10.0527 and 11.7684 Å, with angles of 90.00, 90.00 and 120.00 degrees. The asymmetric unit holds La at (0.0000, 0.0000, 0.0000), Pr at (0.0000, 0.0000, 0.2489), Pr at (0.0000, 0.0000, 0.5000), Y at (0.0000, 0.3274, 0.0000) and Y at (0.0000, 0.6749, 0.5000).

The density comes out at 5.30 g cm⁻³. Its calculated volume is 1030.0 Å³ per cell. The value obtained for the density of states at the Fermi level is 22.7 states/eV/f.u.

=====

Model 2:
DFT (PBE) results for an optimized crystal structure of LaPr3Y6.

The space group is Cmc2_1 (No. 36) and the conventional cell measures 11.080, 19.126 and 6.464 Å, with angles of 90.00, 90.00 and 90.00 degrees. The asymmetric unit holds La at (0.000, 0.188, 0.000), Pr at (0.000, 0.388, 0.072), Pr at (0.181, 0.114, 0.679), Y at (0.000, 0.039, 0.281), Y at (0.000, 0.268, 0.478), Y at (0.168, 0.455, 0.594) and Y at (0.235, 0.292, 0.770).

The density comes out at 5.31 g cm⁻³. Its calculated volume is 1369.9 Å³ per cell. The value obtained for the density of states at the Fermi level is 14.0 states/eV/f.u.

=====

List of relative energies, unit meV/atom: model 1 128; model 2 0

=====

Model 1:
DFT (PBE) results for an optimized crystal structure of LaPr2Y4.

The space group is R-3m (No. 166, hexagonal axes) and the conventional cell measures 3.6054, 3.6054 and 64.2768 Å, with angles of 90.00, 90.00 and 120.00 degrees. The asymmetric unit holds La at (0.0000, 0.0000, 0.0000), Pr at (0.0000, 0.0000, 0.2343), Y at (0.0000, 0.0000, 0.1440) and Y at (0.0000, 0.0000, 0.2881).

The density comes out at 5.34 g cm⁻³. Its calculated volume is 723.6 Å³ per cell. The value obtained for the density of states at the Fermi level is 11.2 states/eV/f.u.

=====

Model 2:
DFT (PBE) results for an optimized crystal structure of LaPr2Y4.

The space group is C2/m (No. 12) and the conventional cell measures 11.169, 11.168 and 8.202 Å, with angles of 90.00, 90.13 and 90.00 degrees. The asymmetric unit holds La at (0.000, 0.000, 0.000), La at (0.000, 0.000, 0.500), Pr at (0.000, 0.500, 0.000), Pr at (0.000, 0.500, 0.500), Pr at (0.250, 0.250, 0.000), Y at (0.001, 0.251, 0.279), Y at (0.249, 0.500, 0.279) and Y at (0.249, 0.500, 0.721).

The density comes out at 5.04 g cm⁻³. Its calculated volume is 1023.0 Å³ per cell. The value obtained for the density of states at the Fermi level is 12.1 states/eV/f.u.

=====

List of relative energies, unit meV/atom: model 1 0; model 2 228

=====

Model 1:
DFT (PBE) results for an optimized crystal structure of La2Pr4Y3.

The space group is C2/m (No. 12) and the conventional cell measures 17.619, 3.628 and 10.014 Å, with angles of 90.00, 99.88 and 90.00 degrees. The asymmetric unit holds La at (0.172, 0.000, 0.377), Pr at (0.001, 0.000, 0.833), Pr at (0.165, 0.000, 0.720), Y at (0.000, 0.500, 0.500) and Y at (0.162, 0.500, 0.040).

The density comes out at 5.84 g cm⁻³. Its calculated volume is 630.6 Å³ per cell. The value obtained for the density of states at the Fermi level is 14.4 states/eV/f.u.

=====

Model 2:
DFT (PBE) results for an optimized crystal structure of La2Pr4Y3.

The space group is C2/m (No. 12) and the conventional cell measures 15.582, 5.212 and 8.203 Å, with angles of 90.00, 108.65 and 90.00 degrees. The asymmetric unit holds La at (0.166, 0.000, 0.000), Pr at (0.055, 0.000, 0.335), Pr at (0.222, 0.500, 0.334), Y at (0.000, 0.500, 0.000) and Y at (0.110, 0.500, 0.666).

The density comes out at 5.83 g cm⁻³. Its calculated volume is 631.2 Å³ per cell. The value obtained for the density of states at the Fermi level is 15.0 states/eV/f.u.

=====

List of relative energies, unit meV/atom: model 1 19; model 2 0

=====

Model 1:
DFT (PBE) results for an optimized crystal structure of La4Pr2Y5.

The space group is C2/m (No. 12) and the conventional cell measures 18.625, 5.197 and 8.161 Å, with angles of 90.00, 104.68 and 90.00 degrees. The asymmetric unit holds La at (0.045, 0.000, 0.229), La at (0.182, 0.500, 0.409), Pr at (0.226, 0.000, 0.134), Y at (0.000, 0.500, 0.500), Y at (0.090, 0.500, 0.951) and Y at (0.136, 0.000, 0.683).

The density comes out at 5.57 g cm⁻³. Its calculated volume is 764.1 Å³ per cell. The value obtained for the density of states at the Fermi level is 19.1 states/eV/f.u.

=====

Model 2:
DFT (PBE) results for an optimized crystal structure of La4Pr2Y5.

The space group is C2/m (No. 12) and the conventional cell measures 19.482, 5.808 and 6.796 Å, with angles of 90.00, 90.43 and 90.00 degrees. The asymmetric unit holds La at (0.021, 0.000, 0.290), La at (0.193, 0.500, 0.078), Pr at (0.099, 0.500, 0.554), Y at (0.000, 0.500, 0.000), Y at (0.131, 0.000, 0.883) and Y at (0.211, 0.000, 0.400).

The density comes out at 5.54 g cm⁻³. Its calculated volume is 769.0 Å³ per cell. The value obtained for the density of states at the Fermi level is 16.5 states/eV/f.u.

=====

List of relative energies, unit meV/atom: model 1 0; model 2 65